Record 1
Below is a relaxed structure of Ba2CeSe6, with properties calculated at the PBE level.

For the volume, the calculation gives 589.4 Å³ per cell. The uncorrected formation energy is -13.06 eV per formula unit.

```
data_Ba2CeSe6
_chemical_formula_sum 'Ba4 Ce2 Se12'
_space_group_name_H-M_alt 'C 1 2/m 1'
_space_group_IT_number 12
_space_group_name_Hall '-C 2y'
_cell_length_a 14.414
_cell_length_b 8.234
_cell_length_c 4.972
_cell_angle_alpha 90.00
_cell_angle_beta 92.69
_cell_angle_gamma 90.00
loop_
_atom_site_label
_atom_site_type_symbol
_atom_site_fract_x
_atom_site_fract_y
_atom_site_fract_z
_atom_site_occupancy
Ba1 Ba 0.170 0.000 0.188 1
Ce1 Ce 0.000 0.500 0.500 1
Se1 Se 0.000 0.274 0.000 1
Se2 Se 0.143 0.269 0.679 1
```



Record 2
Below is a relaxed structure of Ba5CeSe6, with properties calculated at the PBE level.

For the volume, the calculation gives 845.3 Å³ per cell. The calculation puts the density of states at the Fermi level at 18.6 states/eV/cell. The uncorrected formation energy is -23.63 eV per formula unit.

```
data_Ba5CeSe6
_chemical_formula_sum 'Ba10 Ce2 Se12'
_space_group_name_H-M_alt 'C 1 2/m 1'
_space_group_IT_number 12
_space_group_name_Hall '-C 2y'
_cell_length_a 8.036
_cell_length_b 13.906
_cell_length_c 8.026
_cell_angle_alpha 90.00
_cell_angle_beta 109.53
_cell_angle_gamma 90.00
loop_
_atom_site_label
_atom_site_type_symbol
_atom_site_fract_x
_atom_site_fract_y
_atom_site_fract_z
_atom_site_occupancy
Ba1 Ba 0.000 0.000 0.000 1
Ba2 Ba 0.000 0.166 0.500 1
Ba3 Ba 0.000 0.330 0.000 1
Ce1 Ce 0.000 0.500 0.500 1
Se1 Se 0.233 0.500 0.261 1
Se2 Se 0.236 0.343 0.738 1
```



Record 3
Below is a relaxed structure of BaCeSe3, with properties calculated at the PBE level.

For the volume, the calculation gives 611.3 Å³ per cell. The uncorrected formation energy is -8.98 eV per formula unit.

```
data_BaCeSe3
_chemical_formula_sum 'Ba4 Ce4 Se12'
_space_group_name_H-M_alt 'P n m a'
_space_group_IT_number 62
_space_group_name_Hall '-P 2ac 2n'
_cell_length_a 8.130
_cell_length_b 4.476
_cell_length_c 16.799
_cell_angle_alpha 90.00
_cell_angle_beta 90.00
_cell_angle_gamma 90.00
loop_
_atom_site_label
_atom_site_type_symbol
_atom_site_fract_x
_atom_site_fract_y
_atom_site_fract_z
_atom_site_occupancy
Ba1 Ba 0.130 0.250 0.199 1
Ce1 Ce 0.225 0.750 0.457 1
Se1 Se 0.009 0.250 0.406 1
Se2 Se 0.135 0.750 0.044 1
Se3 Se 0.167 0.250 0.797 1
```



Record 4
Below is a relaxed structure of Ba4CeSe6, with properties calculated at the PBE level.

For the volume, the calculation gives 2252.9 Å³ per cell. The uncorrected formation energy is -21.42 eV per formula unit.

```
data_Ba4CeSe6
_chemical_formula_sum 'Ba24 Ce6 Se36'
_space_group_name_H-M_alt 'R -3 c'
_space_group_IT_number 167
_space_group_name_Hall '-R 3 2"c'
_cell_length_a 12.7944
_cell_length_b 12.7944
_cell_length_c 15.8917
_cell_angle_alpha 90.00
_cell_angle_beta 90.00
_cell_angle_gamma 120.00
loop_
_atom_site_label
_atom_site_type_symbol
_atom_site_fract_x
_atom_site_fract_y
_atom_site_fract_z
_atom_site_occupancy
Ba1 Ba 0.0000 0.0000 0.2500 1
Ba2 Ba 0.0000 0.3748 0.2500 1
Ce1 Ce 0.0000 0.0000 0.0000 1
Se1 Se 0.0278 0.1946 0.3949 1
```



Record 5
Below is a relaxed structure of BaCeSi2Se8, with properties calculated at the PBE level.

For the volume, the calculation gives 344.1 Å³ per cell. The calculation puts the density of states at the Fermi level at 12.4 states/eV/cell. The uncorrected formation energy is -9.67 eV per formula unit.

```
data_BaCeSi2Se8
_chemical_formula_sum 'Ba1 Ce1 Si2 Se8'
_space_group_name_H-M_alt 'P -3'
_space_group_IT_number 147
_space_group_name_Hall '-P 3'
_cell_length_a 6.3457
_cell_length_b 6.3457
_cell_length_c 9.8665
_cell_angle_alpha 90.00
_cell_angle_beta 90.00
_cell_angle_gamma 120.00
loop_
_atom_site_label
_atom_site_type_symbol
_atom_site_fract_x
_atom_site_fract_y
_atom_site_fract_z
_atom_site_occupancy
Ba1 Ba 0.0000 0.0000 0.0000 1
Ce1 Ce 0.0000 0.0000 0.5000 1
Si1 Si 0.3333 0.6667 0.7619 1
Se1 Se 0.0209 0.6713 0.3062 1
Se2 Se 0.3333 0.6667 0.9918 1
```



Record 6
Below is a relaxed structure of Ba3CeSm3Se8, with properties calculated at the PBE level.

For the volume, the calculation gives 1452.7 Å³ per cell. The calculation puts the density of states at the Fermi level at 28.1 states/eV/cell. The uncorrected formation energy is -28.70 eV per formula unit.

```
data_Ba3CeSm3Se8
_chemical_formula_sum 'Ba9 Ce3 Sm9 Se24'
_space_group_name_H-M_alt 'R -3 m'
_space_group_IT_number 166
_space_group_name_Hall '-R 3 2"'
_cell_length_a 8.6111
_cell_length_b 8.6111
_cell_length_c 22.6243
_cell_angle_alpha 90.00
_cell_angle_beta 90.00
_cell_angle_gamma 120.00
loop_
_atom_site_label
_atom_site_type_symbol
_atom_site_fract_x
_atom_site_fract_y
_atom_site_fract_z
_atom_site_occupancy
Ba1 Ba 0.0000 0.5000 0.0000 1
Ce1 Ce 0.0000 0.0000 0.5000 1
Sm1 Sm 0.0000 0.5000 0.5000 1
Se1 Se 0.0000 0.0000 0.2398 1
Se2 Se 0.0037 0.5019 0.7609 1
```



Record 7
Below is a relaxed structure of BaTb4CeSe8, with properties calculated at the PBE level.

For the volume, the calculation gives 1392.7 Å³ per cell. The calculation puts the density of states at the Fermi level at 32.1 states/eV/cell. The uncorrected formation energy is -24.75 eV per formula unit.

```
data_BaTb4CeSe8
_chemical_formula_sum 'Ba3 Tb12 Ce3 Se24'
_space_group_name_H-M_alt 'R 3 m'
_space_group_IT_number 160
_space_group_name_Hall 'R 3 -2"'
_cell_length_a 8.6446
_cell_length_b 8.6446
_cell_length_c 21.5202
_cell_angle_alpha 90.00
_cell_angle_beta 90.00
_cell_angle_gamma 120.00
loop_
_atom_site_label
_atom_site_type_symbol
_atom_site_fract_x
_atom_site_fract_y
_atom_site_fract_z
_atom_site_occupancy
Ba1 Ba 0.0000 0.0000 0.0000 1
Tb1 Tb 0.0000 0.0000 0.7483 1
Tb2 Tb 0.0036 0.5018 0.8742 1
Ce1 Ce 0.0000 0.0000 0.3732 1
Se1 Se 0.0000 0.0000 0.1410 1
Se2 Se 0.0000 0.0000 0.6166 1
Se3 Se 0.0129 0.5065 0.1289 1
Se4 Se 0.1876 0.3753 0.9485 1
```



Record 8
Below is a relaxed structure of Ba2TbCeSe4, with properties calculated at the PBE level.

For the volume, the calculation gives 243.7 Å³ per cell. The calculation puts the density of states at the Fermi level at 9.2 states/eV/cell. The uncorrected formation energy is -14.99 eV per formula unit.

```
data_Ba2TbCeSe4
_chemical_formula_sum 'Ba2 Tb1 Ce1 Se4'
_space_group_name_H-M_alt 'P 1 2/m 1'
_space_group_IT_number 10
_space_group_name_Hall '-P 2y'
_cell_length_a 7.549
_cell_length_b 4.356
_cell_length_c 7.823
_cell_angle_alpha 90.00
_cell_angle_beta 108.70
_cell_angle_gamma 90.00
loop_
_atom_site_label
_atom_site_type_symbol
_atom_site_fract_x
_atom_site_fract_y
_atom_site_fract_z
_atom_site_occupancy
Ba1 Ba 0.000 0.000 0.000 1
Ba2 Ba 0.500 0.500 0.000 1
Tb1 Tb 0.000 0.500 0.500 1
Ce1 Ce 0.500 0.000 0.500 1
Se1 Se 0.233 0.000 0.715 1
Se2 Se 0.254 0.500 0.281 1
```



Record 9
Below is a relaxed structure of BaCeTl2Se4, with properties calculated at the PBE level.

For the volume, the calculation gives 267.9 Å³ per cell. The calculation puts the density of states at the Fermi level at 2.3 states/eV/cell. The uncorrected formation energy is -10.15 eV per formula unit.

```
data_BaCeTl2Se4
_chemical_formula_sum 'Ba1 Ce1 Tl2 Se4'
_space_group_name_H-M_alt 'P 1 2/m 1'
_space_group_IT_number 10
_space_group_name_Hall '-P 2y'
_cell_length_a 7.875
_cell_length_b 4.474
_cell_length_c 8.031
_cell_angle_alpha 90.00
_cell_angle_beta 108.79
_cell_angle_gamma 90.00
loop_
_atom_site_label
_atom_site_type_symbol
_atom_site_fract_x
_atom_site_fract_y
_atom_site_fract_z
_atom_site_occupancy
Ba1 Ba 0.000 0.000 0.000 1
Ce1 Ce 0.500 0.500 0.000 1
Tl1 Tl 0.000 0.500 0.500 1
Tl2 Tl 0.500 0.000 0.500 1
Se1 Se 0.279 0.500 0.218 1
Se2 Se 0.291 0.000 0.790 1
```



> Among the records above, which one has the lowest volume?

Ba2TbCeSe4